Record 1
The following is a GGA-PBE calculation of a geometry-optimized Tb3NdGa4 structure, from the Alexandria database.

## Properties
- polymorph energy (0 for the lowest one) (kJ/mol of atoms) = 12.30
- calculated total energy (eV per atom) = -4.295
- ΔE_f (eV per atom) = -0.449

Cell: 3.5761 6.8517 9.2573 Å, 111.71 101.14 90.00°
Element x y z (fractional)
Tb1 0.7975 0.7976 0.5951
Tb2 0.2025 0.2024 0.4049
Tb3 0.0000 0.5000 0.0000
Ga1 0.3685 0.5579 0.7371
Ga2 0.6314 0.8208 0.2629
Ga3 0.6315 0.4421 0.2629
Ga4 0.3686 0.1792 0.7371
Nd1 0.5000 0.0000 0.0000

---

Record 2
The following is a GGA-PBE calculation of a geometry-optimized TbNd4Ga structure, from the Alexandria database.

## Properties
- calculated total energy (eV per atom) = -4.551
- ΔE_f (eV per atom) = -0.097

Cell: 6.4613 9.2470 8.2552 Å, 114.27 100.26 112.39°
Element x y z (fractional)
Nd1 0.2328 0.2827 0.3620
Nd2 0.9550 0.8320 0.2195
Nd3 0.2355 0.6125 0.7805
Nd4 0.7672 0.7173 0.6380
Nd5 0.7645 0.3875 0.2195
Nd6 0.0450 0.1680 0.7805
Nd7 0.6292 0.0793 0.3620
Nd8 0.3708 0.9207 0.6380
Ga1 0.2504 0.0004 0.0007
Ga2 0.7496 0.9996 0.9993
Tb1 0.6553 0.4053 0.8106
Tb2 0.3447 0.5947 0.1894

---

Record 3
The following is a GGA-PBE calculation of a geometry-optimized TbNd3Ga4 structure, from the Alexandria database.

## Properties
- polymorph energy (0 for the lowest one) (kJ/mol of atoms) = 0.00
- calculated total energy (eV per atom) = -4.447
- ΔE_f (eV per atom) = -0.567

Cell: 3.6690 3.6690 14.6919 Å, 90.00 90.00 90.00°
Element x y z (fractional)
Ga1 0.0000 0.0000 0.1163
Ga2 0.0000 0.0000 0.8837
Ga3 0.0000 0.0000 0.3730
Ga4 0.0000 0.0000 0.6270
Tb1 0.5000 0.5000 0.0000
Nd1 0.5000 0.5000 0.2458
Nd2 0.5000 0.5000 0.7542
Nd3 0.5000 0.5000 0.5000

---

- Which value of ΔE_f does entry 3 give?
  -0.567 eV per atom